Density functional theory data (PBE-GGA) for a geometry-optimized TiSeCl2 structure.

a = 3.0904 Å, b = 6.8335 Å, c = 6.9243 Å
α = 117.54°, β = 98.61°, γ = 98.26°
With the nearest neighbours (Å) after each atom.
Fractional positions:
Ti  0.0000  0.0000  0.0000  1 Se 2.32, 4 Cl 2.39-2.44
Se  0.2461  0.6953  0.0001  1 Ti 2.32
Cl  0.3948  0.9983  0.7283  2 Ti 2.39-2.44
Cl  0.6636  0.2703  0.2718  2 Ti 2.39-2.44

Computed properties:
Magnetic moment (μB/atom): 0.0000
Electronic total energy (eV/atom): -5.059
Energy relative to the lowest polymorph listed for this composition (meV/atom): 0.0
Raw formation energy (eV/atom): -1.29

---

Density functional theory data (PBE-GGA) for a geometry-optimized Ti3SeCl structure.

a = 4.4938 Å, b = 4.4938 Å, c = 4.4938 Å
α = 90.00°, β = 90.00°, γ = 90.00°
With the nearest neighbours (Å) after each atom.
Fractional positions:
Ti  0.0000  0.0000  0.5000  2 Cl 2.25
Ti  0.0000  0.5000  0.0000  2 Cl 2.25
Ti  0.5000  0.0000  0.0000  2 Cl 2.25
Se  0.5000  0.5000  0.5000  12 Ti 3.18
Cl  0.0000  0.0000  0.0000  6 Ti 2.25

Computed properties:
Magnetic moment (μB/atom): 0.3212
Electronic total energy (eV/atom): -5.738
Energy relative to the lowest polymorph listed for this composition (meV/atom): 0.0
Raw formation energy (eV/atom): 0.07

---

Density functional theory data (PBE-GGA) for a geometry-optimized TiSeCl2 structure.

a = 10.8461 Å, b = 10.8461 Å, c = 10.8461 Å
α = 16.56°, β = 16.56°, γ = 16.56°
With the nearest neighbours (Å) after each atom.
Fractional positions:
Ti  0.0000  0.0000  0.0000  6 Cl 2.44
Se  0.5000  0.5000  0.5000  6 Se 3.12
Cl  0.3846  0.3846  0.3846  3 Ti 2.44
Cl  0.6154  0.6154  0.6154  3 Ti 2.44

Computed properties:
Magnetic moment (μB/atom): 0.0004
Electronic total energy (eV/atom): -4.580
Energy relative to the lowest polymorph listed for this composition (meV/atom): 479.6
Raw formation energy (eV/atom): -0.81

---

Density functional theory data (PBE-GGA) for a geometry-optimized Ti2WSe2Cl4 structure.

a = 3.2959 Å, b = 3.2959 Å, c = 21.7745 Å
α = 90.00°, β = 90.00°, γ = 120.00°
With the nearest neighbours (Å) after each atom.
Fractional positions:
Ti  0.0000  0.0000  0.0000  6 Cl 2.47
Ti  0.3333  0.6667  0.3199  6 Cl 2.47
W  0.3333  0.6667  0.6681  6 Se 2.55
Se  0.0000  0.0000  0.5904  3 W 2.55
Se  0.0000  0.0000  0.7458  3 W 2.55
Cl  0.0000  0.0000  0.2474  3 Ti 2.47
Cl  0.0000  0.0000  0.3925  3 Ti 2.47
Cl  0.3333  0.6667  0.0725  3 Ti 2.47
Cl  0.3333  0.6667  0.9275  3 Ti 2.47

Computed properties:
Magnetic moment (μB/atom): 0.0000
Electronic total energy (eV/atom): -5.983
Raw formation energy (eV/atom): -1.19

---

Density functional theory data (PBE-GGA) for a geometry-optimized TiW2Se4Cl2 structure.

a = 3.3121 Å, b = 3.3121 Å, c = 22.0680 Å
α = 90.00°, β = 90.00°, γ = 120.00°
With the nearest neighbours (Å) after each atom.
Fractional positions:
Ti  0.0000  0.0000  0.0000  6 Cl 2.48
W  0.0000  0.0000  0.6568  6 Se 2.55
W  0.6667  0.3333  0.3263  6 Se 2.55
Se  0.0000  0.0000  0.2499  3 W 2.55
Se  0.0000  0.0000  0.4027  3 W 2.55
Se  0.6667  0.3333  0.5804  3 W 2.55
Se  0.6667  0.3333  0.7332  3 W 2.55
Cl  0.6667  0.3333  0.0714  3 Ti 2.48
Cl  0.6667  0.3333  0.9286  3 Ti 2.48

Computed properties:
Magnetic moment (μB/atom): 0.0000
Electronic total energy (eV/atom): -6.593
Raw formation energy (eV/atom): -0.88

---

Density functional theory data (PBE-GGA) for a geometry-optimized Tl12Se3Cl5 structure.

a = 16.0775 Å, b = 16.0775 Å, c = 16.0775 Å
α = 109.47°, β = 109.47°, γ = 109.47°
With the nearest neighbours (Å) after each atom.
Fractional positions:
Tl  0.0584  0.2239  0.1475  2 Cl 3.04-3.17, 1 Se 3.28
Tl  0.0584  0.3345  0.9109  2 Cl 3.04-3.17, 1 Se 3.28
Tl  0.0764  0.7239  0.6655  2 Cl 3.04-3.17, 1 Se 3.28
Tl  0.0764  0.8525  0.4109  2 Cl 3.04-3.17, 1 Se 3.28
Tl  0.0891  0.6475  0.4236  2 Cl 3.04-3.17, 1 Se 3.28
Tl  0.0891  0.9416  0.6655  2 Cl 3.04-3.17, 1 Se 3.28
Tl  0.1475  0.0584  0.2239  2 Cl 3.04-3.17, 1 Se 3.28
Tl  0.1475  0.5891  0.9236  2 Cl 3.04-3.17, 1 Se 3.28
Tl  0.1655  0.2239  0.5764  2 Cl 3.04-3.17, 1 Se 3.28
Tl  0.1655  0.4416  0.5891  2 Cl 3.04-3.17, 1 Se 3.28
Tl  0.2239  0.1475  0.0584  2 Cl 3.04-3.17, 1 Se 3.28
Tl  0.2239  0.5764  0.1655  2 Cl 3.04-3.17, 1 Se 3.28
Tl  0.2761  0.3345  0.9236  2 Cl 3.04-3.17, 1 Se 3.28
Tl  0.2761  0.4416  0.3525  2 Cl 3.04-3.17, 1 Se 3.28
Tl  0.3345  0.9109  0.0584  2 Cl 3.04-3.17, 1 Se 3.28
Tl  0.3345  0.9236  0.2761  2 Cl 3.04-3.17, 1 Se 3.28
Tl  0.3525  0.2761  0.4416  2 Cl 3.04-3.17, 1 Se 3.28
Tl  0.3525  0.5764  0.9109  2 Cl 3.04-3.17, 1 Se 3.28
Tl  0.4109  0.0764  0.8525  2 Cl 3.04-3.17, 1 Se 3.28
Tl  0.4109  0.8345  0.5584  2 Cl 3.04-3.17, 1 Se 3.28
Tl  0.4236  0.0891  0.6475  2 Cl 3.04-3.17, 1 Se 3.28
Tl  0.4236  0.8345  0.7761  2 Cl 3.04-3.17, 1 Se 3.28
Tl  0.4416  0.3525  0.2761  2 Cl 3.04-3.17, 1 Se 3.28
Tl  0.4416  0.5891  0.1655  2 Cl 3.04-3.17, 1 Se 3.28
Tl  0.5584  0.4109  0.8345  2 Cl 3.04-3.17, 1 Se 3.28
Tl  0.5584  0.6475  0.7239  2 Cl 3.04-3.17, 1 Se 3.28
Tl  0.5764  0.1655  0.2239  2 Cl 3.04-3.17, 1 Se 3.28
Tl  0.5764  0.9109  0.3525  2 Cl 3.04-3.17, 1 Se 3.28
Tl  0.5891  0.1655  0.4416  2 Cl 3.04-3.17, 1 Se 3.28
Tl  0.5891  0.9236  0.1475  2 Cl 3.04-3.17, 1 Se 3.28
Tl  0.6475  0.4236  0.0891  2 Cl 3.04-3.17, 1 Se 3.28
Tl  0.6475  0.7239  0.5584  2 Cl 3.04-3.17, 1 Se 3.28
Tl  0.6655  0.0764  0.7239  2 Cl 3.04-3.17, 1 Se 3.28
Tl  0.6655  0.0891  0.9416  2 Cl 3.04-3.17, 1 Se 3.28
Tl  0.7239  0.5584  0.6475  2 Cl 3.04-3.17, 1 Se 3.28
Tl  0.7239  0.6655  0.0764  2 Cl 3.04-3.17, 1 Se 3.28
Tl  0.7761  0.4236  0.8345  2 Cl 3.04-3.17, 1 Se 3.28
Tl  0.7761  0.8525  0.9416  2 Cl 3.04-3.17, 1 Se 3.28
Tl  0.8345  0.5584  0.4109  2 Cl 3.04-3.17, 1 Se 3.28
Tl  0.8345  0.7761  0.4236  2 Cl 3.04-3.17, 1 Se 3.28
Tl  0.8525  0.4109  0.0764  2 Cl 3.04-3.17, 1 Se 3.28
Tl  0.8525  0.9416  0.7761  2 Cl 3.04-3.17, 1 Se 3.28
Tl  0.9109  0.0584  0.3345  2 Cl 3.04-3.17, 1 Se 3.28
Tl  0.9109  0.3525  0.5764  2 Cl 3.04-3.17, 1 Se 3.28
Tl  0.9236  0.1475  0.5891  2 Cl 3.04-3.17, 1 Se 3.28
Tl  0.9236  0.2761  0.3345  2 Cl 3.04-3.17, 1 Se 3.28
Tl  0.9416  0.6655  0.0891  2 Cl 3.04-3.17, 1 Se 3.28
Tl  0.9416  0.7761  0.8525  2 Cl 3.04-3.17, 1 Se 3.28
Se  0.1250  0.2500  0.3750  8 Tl 3.28-3.44
Se  0.1250  0.3750  0.7500  8 Tl 3.28-3.44
Se  0.2500  0.3750  0.1250  8 Tl 3.28-3.44
Se  0.2500  0.8750  0.6250  8 Tl 3.28-3.44
Se  0.3750  0.1250  0.2500  8 Tl 3.28-3.44
Se  0.3750  0.7500  0.1250  8 Tl 3.28-3.44
Se  0.6250  0.2500  0.8750  8 Tl 3.28-3.44
Se  0.6250  0.8750  0.7500  8 Tl 3.28-3.44
Se  0.7500  0.1250  0.3750  8 Tl 3.28-3.44
Se  0.7500  0.6250  0.8750  8 Tl 3.28-3.44
Se  0.8750  0.6250  0.2500  8 Tl 3.28-3.44
Se  0.8750  0.7500  0.6250  8 Tl 3.28-3.44
Cl  0.0000  0.0000  0.0000  6 Tl 3.17
Cl  0.0000  0.0000  0.5000  6 Tl 3.17
Cl  0.0000  0.5000  0.0000  6 Tl 3.17
Cl  0.0000  0.5000  0.5000  6 Tl 3.17
Cl  0.1250  0.7500  0.8750  4 Tl 3.04
Cl  0.1250  0.8750  0.2500  4 Tl 3.04
Cl  0.2500  0.1250  0.8750  4 Tl 3.04
Cl  0.2500  0.6250  0.3750  4 Tl 3.04
Cl  0.3750  0.2500  0.6250  4 Tl 3.04
Cl  0.3750  0.6250  0.7500  4 Tl 3.04
Cl  0.5000  0.0000  0.0000  6 Tl 3.17
Cl  0.5000  0.0000  0.5000  6 Tl 3.17
Cl  0.5000  0.5000  0.0000  6 Tl 3.17
Cl  0.5000  0.5000  0.5000  6 Tl 3.17
Cl  0.6250  0.3750  0.2500  4 Tl 3.04
Cl  0.6250  0.7500  0.3750  4 Tl 3.04
Cl  0.7500  0.3750  0.6250  4 Tl 3.04
Cl  0.7500  0.8750  0.1250  4 Tl 3.04
Cl  0.8750  0.1250  0.7500  4 Tl 3.04
Cl  0.8750  0.2500  0.1250  4 Tl 3.04

Computed properties:
Magnetic moment (μB/atom): 0.0000
Electronic total energy (eV/atom): -2.938
Raw formation energy (eV/atom): -0.53

---

Density functional theory data (PBE-GGA) for a geometry-optimized Tl5Se2Cl structure.

a = 8.7370 Å, b = 8.7370 Å, c = 13.2684 Å
α = 90.00°, β = 90.00°, γ = 90.00°
With the nearest neighbours (Å) after each atom.
Fractional positions:
Tl  0.0836  0.6249  0.1068  2 Se 3.06-3.14, 1 Cl 3.21
Tl  0.0836  0.8751  0.6068  2 Se 3.06-3.14, 1 Cl 3.21
Tl  0.1249  0.5836  0.3932  2 Se 3.06-3.14, 1 Cl 3.21
Tl  0.1249  0.9164  0.8932  2 Se 3.06-3.14, 1 Cl 3.21
Tl  0.2500  0.2500  0.2020  2 Cl 3.29-3.34, 4 Se 3.34
Tl  0.2500  0.2500  0.7020  2 Cl 3.29-3.34, 4 Se 3.34
Tl  0.3751  0.5836  0.8932  2 Se 3.06-3.14, 1 Cl 3.21
Tl  0.3751  0.9164  0.3932  2 Se 3.06-3.14, 1 Cl 3.21
Tl  0.4164  0.6249  0.6068  2 Se 3.06-3.14, 1 Cl 3.21
Tl  0.4164  0.8751  0.1068  2 Se 3.06-3.14, 1 Cl 3.21
Tl  0.5836  0.1249  0.8932  2 Se 3.06-3.14, 1 Cl 3.21
Tl  0.5836  0.3751  0.3932  2 Se 3.06-3.14, 1 Cl 3.21
Tl  0.6249  0.0836  0.6068  2 Se 3.06-3.14, 1 Cl 3.21
Tl  0.6249  0.4164  0.1068  2 Se 3.06-3.14, 1 Cl 3.21
Tl  0.7500  0.7500  0.2980  2 Cl 3.29-3.34, 4 Se 3.34
Tl  0.7500  0.7500  0.7980  2 Cl 3.29-3.34, 4 Se 3.34
Tl  0.8751  0.0836  0.1068  2 Se 3.06-3.14, 1 Cl 3.21
Tl  0.8751  0.4164  0.6068  2 Se 3.06-3.14, 1 Cl 3.21
Tl  0.9164  0.1249  0.3932  2 Se 3.06-3.14, 1 Cl 3.21
Tl  0.9164  0.3751  0.8932  2 Se 3.06-3.14, 1 Cl 3.21
Se  0.0892  0.5892  0.7500  6 Tl 3.06-3.34
Se  0.0892  0.9108  0.2500  6 Tl 3.06-3.34
Se  0.4108  0.5892  0.2500  6 Tl 3.06-3.34
Se  0.4108  0.9108  0.7500  6 Tl 3.06-3.34
Se  0.5892  0.0892  0.2500  6 Tl 3.06-3.34
Se  0.5892  0.4108  0.7500  6 Tl 3.06-3.34
Se  0.9108  0.0892  0.7500  6 Tl 3.06-3.34
Se  0.9108  0.4108  0.2500  6 Tl 3.06-3.34
Cl  0.2500  0.2500  0.4538  6 Tl 3.21-3.34
Cl  0.2500  0.2500  0.9538  6 Tl 3.21-3.34
Cl  0.7500  0.7500  0.0462  6 Tl 3.21-3.34
Cl  0.7500  0.7500  0.5462  6 Tl 3.21-3.34

Computed properties:
Magnetic moment (μB/atom): 0.0000
Electronic total energy (eV/atom): -3.109
Energy relative to the lowest polymorph listed for this composition (meV/atom): 0.0
Raw formation energy (eV/atom): -0.53

---

Density functional theory data (PBE-GGA) for a geometry-optimized Tl4SeCl3 structure.

a = 6.0666 Å, b = 13.2010 Å, c = 6.5480 Å
α = 90.00°, β = 90.00°, γ = 90.00°
With the nearest neighbours (Å) after each atom.
Fractional positions:
Tl  0.2500  0.0011  0.2232  5 Cl 3.07-3.40, 1 Se 3.29
Tl  0.2500  0.2500  0.7308  2 Cl 3.03, 2 Se 3.24-3.31
Tl  0.2500  0.4989  0.2232  5 Cl 3.07-3.40, 1 Se 3.29
Tl  0.2500  0.7500  0.7408  3 Cl 3.01-3.16, 2 Se 3.04
Tl  0.7500  0.2500  0.2592  3 Cl 3.01-3.16, 2 Se 3.04
Tl  0.7500  0.5011  0.7768  5 Cl 3.07-3.40, 1 Se 3.29
Tl  0.7500  0.7500  0.2692  2 Cl 3.03, 2 Se 3.24-3.31
Tl  0.7500  0.9989  0.7768  5 Cl 3.07-3.40, 1 Se 3.29
Se  0.2500  0.2500  0.2366  6 Tl 3.04-3.31
Se  0.7500  0.7500  0.7634  6 Tl 3.04-3.31
Cl  0.2500  0.5111  0.7042  5 Tl 3.07-3.40
Cl  0.2500  0.7500  0.2807  5 Tl 3.01-3.34
Cl  0.2500  0.9889  0.7042  5 Tl 3.07-3.40
Cl  0.7500  0.0111  0.2958  5 Tl 3.07-3.40
Cl  0.7500  0.2500  0.7193  5 Tl 3.01-3.34
Cl  0.7500  0.4889  0.2958  5 Tl 3.07-3.40

Computed properties:
Magnetic moment (μB/atom): 0.0000
Electronic total energy (eV/atom): -3.076
Raw formation energy (eV/atom): -0.77

---

Which of these has the highest magnetic moment?
Ti3SeCl